First-principles (PBE with a Hubbard U) data for a relaxed ZrVIO2 crystal, as listed in Alexandria via LeMat-Bulk.

Cell lengths 4.1253, 4.1253, 6.1635 Å; angles 90.00, 90.00, 90.00 degrees
Element x y z (fractional)
I1 0.0000 0.0000 0.5000
O1 0.0000 0.5000 0.0000
O2 0.5000 0.0000 0.0000
Zr1 0.0000 0.0000 0.0000
V1 0.5000 0.5000 0.5000

Computed properties:
**Energy above the most stable polymorph in this dataset**: 0.0 kJ per mole of atoms
**Energy**: -31.85 eV/f.u.
**Density of states at the Fermi level**: 0.903 states/eV/atom